--- one ---
A plane-wave DFT calculation with PBE was carried out for a geometry-optimized MgBeTl2 structure.

Lattice parameters (Å, degrees): 3.1779 3.1779 9.2279 90.00 90.00 90.00
Fractional coordinates of all 4 atoms:
Be  0.0000  0.0000  0.5267
Tl  0.0000  0.0000  0.9717
Tl  0.5000  0.5000  0.3123
Mg  0.5000  0.5000  0.6893

Properties
For the magnetization, the calculation gives 0.00 μB per cell.

=====

--- two ---
A plane-wave DFT calculation with PBE was carried out for a geometry-optimized MgBeTl2 structure.

Lattice parameters (Å, degrees): 9.3819 9.3819 9.3819 20.83 20.83 20.83
Fractional coordinates of all 4 atoms:
Be  0.4972  0.4972  0.4972
Tl  0.0045  0.0045  0.0045
Tl  0.2341  0.2341  0.2341
Mg  0.7642  0.7642  0.7642

Properties
For the magnetization, the calculation gives 0.00 μB per cell.

=====

Stability comparison, relative energies in meV per atom: one 0; two 40

=====

--- one ---
A plane-wave DFT calculation with PBE was carried out for a geometry-optimized Mg3BeTl structure.

Lattice parameters (Å, degrees): 4.8575 4.8575 4.8575 90.00 90.00 90.00
Fractional coordinates of all 5 atoms:
Be  0.0000  0.0000  0.0000
Tl  0.5000  0.5000  0.5000
Mg  0.0000  0.5000  0.0000
Mg  0.0000  0.0000  0.5000
Mg  0.5000  0.0000  0.0000

Properties
For the magnetization, the calculation gives 0.00 μB per cell.

=====

--- two ---
A plane-wave DFT calculation with PBE was carried out for a geometry-optimized Mg3BeTl structure.

Lattice parameters (Å, degrees): 5.3255 5.3255 5.3255 90.00 90.00 90.00
Fractional coordinates of all 5 atoms:
Be  0.5000  0.5000  0.5000
Tl  0.0000  0.0000  0.0000
Mg  0.0000  0.5000  0.0000
Mg  0.0000  0.0000  0.5000
Mg  0.5000  0.0000  0.0000

Properties
For the magnetization, the calculation gives 0.00 μB per cell.

=====

Stability comparison, relative energies in meV per atom: one 0; two 612

=====

--- one ---
A plane-wave DFT calculation with PBE was carried out for a geometry-optimized Tm2MgBe structure.

Lattice parameters (Å, degrees): 3.3840 3.3840 7.9185 90.00 90.00 90.00
Fractional coordinates of all 4 atoms:
Be  0.5000  0.5000  0.0000
Mg  0.5000  0.5000  0.5000
Tm  0.0000  0.0000  0.7949
Tm  0.0000  0.0000  0.2051

Properties
For the magnetization, the calculation gives 0.00 μB per cell.

=====

--- two ---
A plane-wave DFT calculation with PBE was carried out for a geometry-optimized Tm2MgBe structure.

Lattice parameters (Å, degrees): 3.2807 3.2807 11.2368 81.61 81.61 60.00
Fractional coordinates of all 4 atoms:
Be  0.0000  0.0000  0.0000
Mg  0.5000  0.5000  0.5000
Tm  0.0865  0.0865  0.7405
Tm  0.9135  0.9135  0.2595

Properties
For the magnetization, the calculation gives 0.00 μB per cell.

=====

Stability comparison, relative energies in meV per atom: one 0; two 691

=====

--- one ---
A plane-wave DFT calculation with PBE was carried out for a geometry-optimized Tm2MgBe structure.

Lattice parameters (Å, degrees): 5.0245 5.0245 5.0245 60.00 60.00 60.00
Fractional coordinates of all 4 atoms:
Be  0.5000  0.5000  0.5000
Mg  0.0000  0.0000  0.0000
Tm  0.2500  0.2500  0.2500
Tm  0.7500  0.7500  0.7500

Properties
For the magnetization, the calculation gives 0.00 μB per cell.

=====

--- two ---
A plane-wave DFT calculation with PBE was carried out for a geometry-optimized Tm2MgBe structure.

Lattice parameters (Å, degrees): 3.6501 4.9674 4.9674 90.00 90.00 90.00
Fractional coordinates of all 4 atoms:
Be  0.5000  0.5000  0.5000
Mg  0.5000  0.0000  0.0000
Tm  0.0000  0.0000  0.5000
Tm  0.0000  0.5000  0.0000

Properties
For the magnetization, the calculation gives 0.00 μB per cell.

=====

Stability comparison, relative energies in meV per atom: one 0; two 7

=====

--- one ---
A plane-wave DFT calculation with PBE was carried out for a geometry-optimized MgBeV3 structure.

Lattice parameters (Å, degrees): 4.2076 4.2076 4.2076 90.00 90.00 90.00
Fractional coordinates of all 5 atoms:
Be  0.0000  0.0000  0.0000
Mg  0.5000  0.5000  0.5000
V  0.0000  0.5000  0.0000
V  0.0000  0.0000  0.5000
V  0.5000  0.0000  0.0000

Properties
For the magnetization, the calculation gives 0.00 μB per cell.

=====

--- two ---
A plane-wave DFT calculation with PBE was carried out for a geometry-optimized MgBeV3 structure.

Lattice parameters (Å, degrees): 4.4466 4.4466 4.4466 90.00 90.00 90.00
Last column: magnetic moment on the atom in μB.
Fractional coordinates of all 5 atoms:
Be  0.5000  0.5000  0.5000  -0.01
Mg  0.0000  0.0000  0.0000  0.00
V  0.0000  0.5000  0.0000  0.17
V  0.0000  0.0000  0.5000  0.17
V  0.5000  0.0000  0.0000  0.17

Properties
For the magnetization, the calculation gives 0.57 μB per cell.

=====

Stability comparison, relative energies in meV per atom: one 0; two 1409

=====

--- one ---
A plane-wave DFT calculation with PBE was carried out for a geometry-optimized MgBeV2 structure.

Lattice parameters (Å, degrees): 3.7317 3.7317 9.5991 78.79 78.79 90.00
Fractional coordinates of all 8 atoms:
Be  0.5000  0.5000  0.0000
Be  0.2500  0.7500  0.5000
Mg  0.0000  0.0000  0.0000
Mg  0.7500  0.2500  0.5000
V  0.2560  0.1250  0.2500
V  0.4940  0.6250  0.2500
V  0.3750  0.7440  0.7500
V  0.8750  0.5060  0.7500

Properties
For the magnetization, the calculation gives 0.00 μB per cell.

=====

--- two ---
A plane-wave DFT calculation with PBE was carried out for a geometry-optimized MgBeV2 structure.

Lattice parameters (Å, degrees): 4.2453 4.2453 4.2453 60.00 60.00 60.00
Last column: magnetic moment on the atom in μB.
Fractional coordinates of all 4 atoms:
Be  0.0000  0.0000  0.0000  -0.01
Mg  0.5000  0.5000  0.5000  0.00
V  0.2500  0.2500  0.2500  0.28
V  0.7500  0.7500  0.7500  0.28

Properties
For the magnetization, the calculation gives 0.61 μB per cell.

=====

Stability comparison, relative energies in meV per atom: one 363; two 0

=====

--- one ---
A plane-wave DFT calculation with PBE was carried out for a geometry-optimized MgBeW structure.

Lattice parameters (Å, degrees): 4.2341 4.2341 4.2341 60.00 60.00 60.00
Fractional coordinates of all 3 atoms:
Be  0.0000  0.0000  0.0000
Mg  0.5000  0.5000  0.5000
W  0.2500  0.2500  0.2500

Properties
For the magnetization, the calculation gives 0.00 μB per cell.

=====

--- two ---
A plane-wave DFT calculation with PBE was carried out for a geometry-optimized MgBeW structure.

Lattice parameters (Å, degrees): 6.3587 6.3587 6.3587 155.47 155.47 34.97
Fractional coordinates of all 3 atoms:
Be  0.0076  0.0076  0.0000
Mg  0.3422  0.3422  0.0000
W  0.6502  0.6502  0.0000

Properties
For the magnetization, the calculation gives 0.00 μB per cell.

=====

Stability comparison, relative energies in meV per atom: one 1182; two 0

=====

--- one ---
A plane-wave DFT calculation with PBE was carried out for a geometry-optimized MgBeW structure.

Lattice parameters (Å, degrees): 2.8093 2.8093 6.7058 90.00 90.00 120.00
Fractional coordinates of all 3 atoms:
Be  0.0000  0.0000  0.9867
Mg  0.3333  0.6667  0.3217
W  0.6667  0.3333  0.6916

Properties
For the magnetization, the calculation gives 0.00 μB per cell.

=====

--- two ---
A plane-wave DFT calculation with PBE was carried out for a geometry-optimized MgBeW structure.

Lattice parameters (Å, degrees): 6.5601 6.4483 2.7014 80.34 75.71 23.95
Fractional coordinates of all 3 atoms:
Be  0.0077  0.0077  0.9923
Mg  0.3408  0.3408  0.6592
W  0.6515  0.6515  0.3485

Properties
For the magnetization, the calculation gives 0.00 μB per cell.

=====

Stability comparison, relative energies in meV per atom: one 132; two 0

=====

--- one ---
A plane-wave DFT calculation with PBE was carried out for a geometry-optimized Mg2BeW2 structure.

Lattice parameters (Å, degrees): 3.5916 3.5916 8.0352 77.09 77.09 90.00
Fractional coordinates of all 5 atoms:
Be  0.0000  0.0000  0.0000
Mg  0.4053  0.4053  0.1894
Mg  0.5947  0.5947  0.8106
W  0.7500  0.2500  0.5000
W  0.2500  0.7500  0.5000

Properties
For the magnetization, the calculation gives 0.00 μB per cell.

=====

--- two ---
A plane-wave DFT calculation with PBE was carried out for a geometry-optimized Mg2BeW2 structure.

Lattice parameters (Å, degrees): 6.0725 6.0725 4.3661 90.00 90.00 90.00
Fractional coordinates of all 10 atoms:
Be  0.0000  0.0000  0.0000
Be  0.5000  0.5000  0.0000
Mg  0.3507  0.8507  0.0000
Mg  0.8507  0.6493  0.0000
Mg  0.6493  0.1493  0.0000
Mg  0.1493  0.3507  0.0000
W  0.1495  0.6495  0.5000
W  0.6495  0.8505  0.5000
W  0.8505  0.3505  0.5000
W  0.3505  0.1495  0.5000

Properties
For the magnetization, the calculation gives 0.00 μB per cell.

=====

Stability comparison, relative energies in meV per atom: one 0; two 47

=====

--- one ---
A plane-wave DFT calculation with PBE was carried out for a geometry-optimized MgBe3W structure.

Lattice parameters (Å, degrees): 4.3860 4.3860 4.3860 90.00 90.00 90.00
Fractional coordinates of all 5 atoms:
Be  0.0000  0.5000  0.0000
Be  0.0000  0.0000  0.5000
Be  0.5000  0.0000  0.0000
Mg  0.5000  0.5000  0.5000
W  0.0000  0.0000  0.0000

Properties
For the magnetization, the calculation gives 0.00 μB per cell.

=====

--- two ---
A plane-wave DFT calculation with PBE was carried out for a geometry-optimized MgBe3W structure.

Lattice parameters (Å, degrees): 4.0364 4.0364 4.0364 90.00 90.00 90.00
Fractional coordinates of all 5 atoms:
Be  0.0000  0.5000  0.0000
Be  0.0000  0.0000  0.5000
Be  0.5000  0.0000  0.0000
Mg  0.0000  0.0000  0.0000
W  0.5000  0.5000  0.5000

Properties
For the magnetization, the calculation gives 0.00 μB per cell.

=====

Stability comparison, relative energies in meV per atom: one 0; two 534

=====

--- one ---
A plane-wave DFT calculation with PBE was carried out for a geometry-optimized Y2MgBe structure.

Lattice parameters (Å, degrees): 3.3054 3.3054 8.7102 90.00 90.00 90.00
Fractional coordinates of all 4 atoms:
Y  0.0000  0.0000  0.9852
Y  0.5000  0.5000  0.3059
Be  0.0000  0.0000  0.5173
Mg  0.5000  0.5000  0.6917

Properties
For the magnetization, the calculation gives 0.00 μB per cell.

=====

--- two ---
A plane-wave DFT calculation with PBE was carried out for a geometry-optimized Y2MgBe structure.

Lattice parameters (Å, degrees): 5.8057 5.8057 5.8057 135.53 135.53 64.70
Fractional coordinates of all 4 atoms:
Y  0.0000  0.0000  0.0000
Y  0.2500  0.7500  0.5000
Be  0.5000  0.5000  0.0000
Mg  0.7500  0.2500  0.5000

Properties
For the magnetization, the calculation gives 0.00 μB per cell.

=====

--- three ---
A plane-wave DFT calculation with PBE was carried out for a geometry-optimized Y2MgBe structure.

Lattice parameters (Å, degrees): 5.1063 5.1063 5.1063 60.00 60.00 60.00
Fractional coordinates of all 4 atoms:
Y  0.2500  0.2500  0.2500
Y  0.7500  0.7500  0.7500
Be  0.0000  0.0000  0.0000
Mg  0.5000  0.5000  0.5000

Properties
For the magnetization, the calculation gives 0.00 μB per cell.

=====

--- four ---
A plane-wave DFT calculation with PBE was carried out for a geometry-optimized Y2MgBe structure.

Lattice parameters (Å, degrees): 6.1225 6.1225 5.1043 65.36 65.36 33.24
Fractional coordinates of all 4 atoms:
Y  0.0044  0.0044  0.9956
Y  0.2115  0.2115  0.2884
Be  0.4837  0.4837  0.5163
Mg  0.8003  0.8003  0.6996

Properties
For the magnetization, the calculation gives 0.01 μB per cell.

=====

Stability comparison, relative energies in meV per atom: one 71; two 187; three 0; four 31

=====

--- one ---
A plane-wave DFT calculation with PBE was carried out for a geometry-optimized Y2MgBe structure.

Lattice parameters (Å, degrees): 4.5688 3.6133 6.1774 72.78 90.00 90.00
Fractional coordinates of all 4 atoms:
Y  0.0000  0.9588  0.9572
Y  0.5000  0.2821  0.3118
Be  0.0000  0.6934  0.4874
Mg  0.5000  0.5658  0.7436

Properties
For the magnetization, the calculation gives 0.00 μB per cell.

=====

--- two ---
A plane-wave DFT calculation with PBE was carried out for a geometry-optimized Y2MgBe structure.

Lattice parameters (Å, degrees): 9.6410 9.6410 9.6410 21.28 21.28 21.28
Fractional coordinates of all 4 atoms:
Y  0.9863  0.9863  0.9863
Y  0.5137  0.5137  0.5137
Be  0.2500  0.2500  0.2500
Mg  0.7500  0.7500  0.7500

Properties
For the magnetization, the calculation gives 0.01 μB per cell.

=====

Stability comparison, relative energies in meV per atom: one 0; two 60